(1)
Material: CrTc
Method: DFT, PBE
State: optimized geometry

Values from the calculation:
E (Ry per atom): -0.6923
Space-group type: P6_3mc (186)
D(E_F) (states/eV per cell): 5.25

Structure (POSCAR):
```
CrTc
1.0
2.6879 0.0000 0.0000
-1.3440 2.3278 0.0000
0.0000 0.0000 8.8696
Cr Tc
2 2
direct
0.3333 0.6667 0.0000
0.6667 0.3333 0.5000
0.3333 0.6667 0.2677
0.6667 0.3333 0.7677
```

(2)
Material: PaTcPb
Method: DFT, PBE
State: optimized geometry

Values from the calculation:
Space-group type: I4/mmm (139)
D(E_F) (states/eV per cell): 6.58
Distance to the lowest polymorph of the same formula (eV/f.u.): 0.17

Structure (POSCAR):
```
PaTcPb
1.0
-1.8050 1.8050 11.7958
1.8050 -1.8050 11.7958
1.8050 1.8050 -11.7958
Pa Tc Pb
2 2 2
direct
0.1649 0.1649 0.0000
0.8351 0.8351 0.0000
0.2726 0.2726 0.0000
0.7274 0.7274 0.0000
0.4339 0.4339 0.0000
0.5661 0.5661 0.0000
```

(3)
Material: Tl4Pb3O8
Method: DFT, PBE
State: optimized geometry

Values from the calculation:
Space-group type: C2/m (12)
D(E_F) (states/eV per cell): 2.57
Raw formation energy (meV per atom): -693

Structure (POSCAR):
```
Tl4Pb3O8
1.0
5.0898 -5.1230 0.0000
5.0898 5.1230 0.0000
-4.9605 0.0000 5.0910
Tl Pb O
4 3 8
direct
0.0000 0.0000 0.0000
0.0000 0.0000 0.5000
0.0000 0.5000 0.0000
0.5000 0.0000 0.0000
0.0000 0.5000 0.5000
0.5000 0.0000 0.5000
0.5000 0.5000 0.0000
0.2175 0.2175 0.9636
0.2205 0.2205 0.4808
0.2238 0.7762 0.5000
0.2406 0.7594 0.0000
0.7594 0.2406 0.0000
0.7762 0.2238 0.5000
0.7795 0.7795 0.5192
0.7825 0.7825 0.0364
```

(4)
Material: NiIr2Pb
Method: DFT, PBE
State: optimized geometry

Values from the calculation:
E (Ry per atom): -0.4583
Space-group type: I-42d (122)
D(E_F) (states/eV per cell): 11.86

Structure (POSCAR):
```
NiIr2Pb
1.0
-1.9950 1.9950 9.0358
1.9950 -1.9950 9.0358
1.9950 1.9950 -9.0358
Ni Ir Pb
2 4 2
direct
0.0000 0.0000 0.0000
0.7500 0.2500 0.5000
0.0613 0.6250 0.9363
0.3750 0.3113 0.4363
0.6887 0.1250 0.0637
0.8750 0.9387 0.5637
0.2500 0.7500 0.5000
0.5000 0.5000 0.0000
```

(5)
Material: SrSb2Ir
Method: DFT, PBE
State: optimized geometry

Values from the calculation:
Space-group type: P2/m (10)
D(E_F) (states/eV per cell): 1.79
Raw formation energy (meV per atom): -494

Structure (POSCAR):
```
SrSb2Ir
1.0
5.2261 0.0000 0.0000
0.0000 4.2948 0.0000
-1.8308 0.0000 4.8969
Sr Sb Ir
1 2 1
direct
0.0000 0.0000 0.0000
0.3162 0.5000 0.6818
0.6838 0.5000 0.3182
0.5000 0.0000 0.5000
```

(6)
Material: Tb2AsS6
Method: DFT, PBE
State: optimized geometry

Values from the calculation:
Space-group type: P4_2/mnm (136)
D(E_F) (states/eV per cell): 13.65
Raw formation energy (meV per atom): -794

Structure (POSCAR):
```
Tb2AsS6
1.0
6.1189 0.0000 0.0000
0.0000 6.1189 0.0000
0.0000 0.0000 11.9309
Tb As S
4 2 12
direct
0.0000 0.0000 0.1645
0.0000 0.0000 0.8355
0.5000 0.5000 0.3355
0.5000 0.5000 0.6645
0.0000 0.0000 0.5000
0.5000 0.5000 0.0000
0.1842 0.1842 0.3503
0.1842 0.1842 0.6497
0.2199 0.2199 0.0000
0.2801 0.7199 0.5000
0.3158 0.6842 0.1497
0.3158 0.6842 0.8503
0.6842 0.3158 0.1497
0.6842 0.3158 0.8503
0.7199 0.2801 0.5000
0.7801 0.7801 0.0000
0.8158 0.8158 0.3503
0.8158 0.8158 0.6497
```

Q: Which formula does entry 2 have?
A: PaTcPb

Q: Among the records above, which one has the highest D(E_F)?
A: Tb2AsS6

Q: Which value of D(E_F) does entry 2 give?
A: 6.58 states/eV per cell